Compound: ZnIn2W
Source: Alexandria via LeMat-Bulk
Functional: PBE
Structure: relaxed

a = 10.4029 Å, b = 10.4029 Å, c = 10.4029 Å
α = 16.56°, β = 16.56°, γ = 16.56°
Atoms (fractional coordinates):
In (0.0076, 0.0076, 0.0076)
In (0.2407, 0.2407, 0.2407)
W (0.4940, 0.4940, 0.4940)
Zn (0.7577, 0.7577, 0.7577)

Output
The mass density comes out at 10.0 g/cm3. For the total magnetization, the calculation gives 0.00 μB/atom. The value obtained for the energy of formation from the pure elements is 0.445 eV per atom. As for the crystal system: trigonal. Its volume is 19.93 Å³/atom. As for the symmetry: R3m (160).